1.
First-principles (PBE) data for a geometry-optimized Be2Nb2W structure, as listed in OQMD.

Cell lengths 6.4177, 6.4177, 3.3268 Å; angles 90.00, 90.00, 90.00 degrees
Closest atoms and distances in Å follow each position.
Positions (direct):
1 Be 0.1159 0.3841 0.0000  1 Be 2.10
2 Be 0.3841 0.8841 0.0000  1 Be 2.10
3 Be 0.6159 0.1159 0.0000  1 Be 2.10
4 Be 0.8841 0.6159 0.0000  1 Be 2.10
5 Nb 0.1802 0.6802 0.5000  6 Be 2.49-2.56
6 Nb 0.3198 0.1802 0.5000  6 Be 2.49-2.56
7 Nb 0.6802 0.8198 0.5000  6 Be 2.49-2.56
8 Nb 0.8198 0.3198 0.5000  6 Be 2.49-2.56
9 W 0.0000 0.0000 0.0000  4 Be 2.57
10 W 0.5000 0.5000 0.0000  4 Be 2.57

Output
Uncorrected energy (eV/cell): -83.269
Spin magnetization (μB per cell): 0.0

---

2.
First-principles (PBE) data for a geometry-optimized GdAlZn structure, as listed in OQMD.

Cell lengths 4.4702, 4.4702, 7.3690 Å; angles 90.00, 90.00, 120.00 degrees
Closest atoms and distances in Å follow each position.
Positions (direct):
1 Gd 0.0000 0.0000 0.0000  6 Al 3.17, 6 Zn 3.17
2 Gd 0.0000 0.0000 0.5000  6 Al 3.17, 6 Zn 3.17
3 Al 0.3333 0.6667 0.2500  3 Zn 2.58
4 Al 0.6667 0.3333 0.7500  3 Zn 2.58
5 Zn 0.3333 0.6667 0.7500  3 Al 2.58
6 Zn 0.6667 0.3333 0.2500  3 Al 2.58

Output
Uncorrected energy (eV/cell): -22.016
Spin magnetization (μB per cell): 0.1

---

3.
First-principles (PBE) data for a geometry-optimized GdEr2FeSn3Ir2 structure, as listed in OQMD.

Cell lengths 3.7431, 7.5998, 7.5998 Å; angles 120.22, 90.00, 90.00 degrees
Closest atoms and distances in Å follow each position.
Positions (direct):
1 Gd 0.0000 0.0000 0.0000  4 Ir 2.99, 1 Fe 3.10, 6 Sn 3.16-3.30
2 Er 0.0000 0.4079 0.8153  4 Ir 2.95, 1 Fe 3.09, 6 Sn 3.16-3.30
3 Er 0.0000 0.8153 0.4079  4 Ir 2.95, 1 Fe 3.09, 6 Sn 3.16-3.30
4 Fe 0.0000 0.4093 0.4093  6 Sn 2.69-2.71
5 Sn 0.5000 0.1509 0.4091  2 Fe 2.71, 2 Ir 2.83-2.87
6 Sn 0.5000 0.4091 0.1509  2 Fe 2.71, 2 Ir 2.83-2.87
7 Sn 0.5000 0.6645 0.6645  2 Fe 2.69, 2 Ir 2.88
8 Ir 0.5000 0.0757 0.7383  3 Sn 2.83-2.88, 4 Er 2.95, 2 Gd 2.99
9 Ir 0.5000 0.7383 0.0757  3 Sn 2.83-2.88, 4 Er 2.95, 2 Gd 2.99

Output
Uncorrected energy (eV/cell): -58.010
Spin magnetization (μB per cell): 1.6

---

4.
First-principles (PBE) data for a geometry-optimized PrFeIr structure, as listed in OQMD.

Cell lengths 6.5358, 6.5358, 6.5358 Å; angles 90.00, 90.00, 90.00 degrees
Closest atoms and distances in Å follow each position.
Positions (direct):
1 Pr 0.0000 0.0000 0.0000  4 Fe 2.83, 4 Ir 2.83
2 Pr 0.0000 0.5000 0.5000  4 Fe 2.83, 4 Ir 2.83
3 Pr 0.5000 0.0000 0.5000  4 Fe 2.83, 4 Ir 2.83
4 Pr 0.5000 0.5000 0.0000  4 Fe 2.83, 4 Ir 2.83
5 Fe 0.2500 0.2500 0.7500  4 Pr 2.83
6 Fe 0.2500 0.7500 0.2500  4 Pr 2.83
7 Fe 0.7500 0.2500 0.2500  4 Pr 2.83
8 Fe 0.7500 0.7500 0.7500  4 Pr 2.83
9 Ir 0.2500 0.2500 0.2500  4 Pr 2.83
10 Ir 0.2500 0.7500 0.7500  4 Pr 2.83
11 Ir 0.7500 0.2500 0.7500  4 Pr 2.83
12 Ir 0.7500 0.7500 0.2500  4 Pr 2.83

Output
Energy of formation from the pure elements (eV per atom): 0.90
Spin magnetization (μB per cell): 11.7

---

5.
First-principles (PBE) data for a geometry-optimized PrSmNi2B2Pt6 structure, as listed in OQMD.

Cell lengths 5.4658, 5.4658, 7.3722 Å; angles 90.00, 90.00, 120.00 degrees
Closest atoms and distances in Å follow each position.
Positions (direct):
1 Pr 0.0000 0.0000 0.0000  12 Pt 3.15, 6 B 3.16
2 Sm 0.0000 0.0000 0.5000  6 Ni 3.16, 12 Pt 3.46
3 Ni 0.3333 0.6667 0.5000  6 Pt 2.64
4 Ni 0.6667 0.3333 0.5000  6 Pt 2.64
5 B 0.3333 0.6667 0.0000  6 Pt 2.23
6 B 0.6667 0.3333 0.0000  6 Pt 2.23
7 Pt 0.0000 0.5000 0.2129  2 B 2.23
8 Pt 0.0000 0.5000 0.7871  2 B 2.23
9 Pt 0.5000 0.0000 0.2129  2 B 2.23
10 Pt 0.5000 0.0000 0.7871  2 B 2.23
11 Pt 0.5000 0.5000 0.2129  2 B 2.23
12 Pt 0.5000 0.5000 0.7871  2 B 2.23

Output
Spin magnetization (μB per cell): 0.0
Energy relative to the lowest polymorph listed for this composition (eV per atom): 0.0226

---

6.
First-principles (PBE) data for a geometry-optimized RbGeW structure, as listed in OQMD.

Cell lengths 6.9884, 6.9884, 6.9884 Å; angles 90.00, 90.00, 90.00 degrees
Closest atoms and distances in Å follow each position.
Positions (direct):
1 Rb 0.0000 0.0000 0.0000  4 Ge 3.03
2 Rb 0.0000 0.5000 0.5000  4 Ge 3.03
3 Rb 0.5000 0.0000 0.5000  4 Ge 3.03
4 Rb 0.5000 0.5000 0.0000  4 Ge 3.03
5 Ge 0.2500 0.2500 0.2500  4 W 3.03, 4 Rb 3.03
6 Ge 0.2500 0.7500 0.7500  4 W 3.03, 4 Rb 3.03
7 Ge 0.7500 0.2500 0.7500  4 W 3.03, 4 Rb 3.03
8 Ge 0.7500 0.7500 0.2500  4 W 3.03, 4 Rb 3.03
9 W 0.0000 0.0000 0.5000  4 Ge 3.03
10 W 0.0000 0.5000 0.0000  4 Ge 3.03
11 W 0.5000 0.0000 0.0000  4 Ge 3.03
12 W 0.5000 0.5000 0.5000  4 Ge 3.03

Output
Spin magnetization (μB per cell): 12.0
Energy relative to the lowest polymorph listed for this composition (eV per atom): 0.0000

---

7.
First-principles (PBE) data for a geometry-optimized LaPaAl structure, as listed in OQMD.

Cell lengths 7.1195, 7.1195, 7.1195 Å; angles 90.00, 90.00, 90.00 degrees
Closest atoms and distances in Å follow each position.
Positions (direct):
1 La 0.0000 0.0000 0.0000  4 Al 3.08
2 La 0.0000 0.5000 0.5000  4 Al 3.08
3 La 0.5000 0.0000 0.5000  4 Al 3.08
4 La 0.5000 0.5000 0.0000  4 Al 3.08
5 Pa 0.0000 0.0000 0.5000  4 Al 3.08
6 Pa 0.0000 0.5000 0.0000  4 Al 3.08
7 Pa 0.5000 0.0000 0.0000  4 Al 3.08
8 Pa 0.5000 0.5000 0.5000  4 Al 3.08
9 Al 0.2500 0.2500 0.2500  4 La 3.08, 4 Pa 3.08
10 Al 0.2500 0.7500 0.7500  4 La 3.08, 4 Pa 3.08
11 Al 0.7500 0.2500 0.7500  4 La 3.08, 4 Pa 3.08
12 Al 0.7500 0.7500 0.2500  4 La 3.08, 4 Pa 3.08

Output
Spin magnetization (μB per cell): 0.2
Energy relative to the lowest polymorph listed for this composition (eV per atom): 0.0000

---

8.
First-principles (PBE) data for a geometry-optimized NaYPu structure, as listed in OQMD.

Cell lengths 7.4161, 7.4161, 7.4161 Å; angles 90.00, 90.00, 90.00 degrees
Closest atoms and distances in Å follow each position.
Positions (direct):
1 Na 0.0000 0.0000 0.0000  4 Pu 3.21, 4 Y 3.21
2 Na 0.0000 0.5000 0.5000  4 Pu 3.21, 4 Y 3.21
3 Na 0.5000 0.0000 0.5000  4 Pu 3.21, 4 Y 3.21
4 Na 0.5000 0.5000 0.0000  4 Pu 3.21, 4 Y 3.21
5 Y 0.2500 0.2500 0.2500  4 Na 3.21
6 Y 0.2500 0.7500 0.7500  4 Na 3.21
7 Y 0.7500 0.2500 0.7500  4 Na 3.21
8 Y 0.7500 0.7500 0.2500  4 Na 3.21
9 Pu 0.2500 0.2500 0.7500  4 Na 3.21
10 Pu 0.2500 0.7500 0.2500  4 Na 3.21
11 Pu 0.7500 0.2500 0.2500  4 Na 3.21
12 Pu 0.7500 0.7500 0.7500  4 Na 3.21

Output
Spin magnetization (μB per cell): 31.9
Energy relative to the lowest polymorph listed for this composition (eV per atom): 0.0000

---

9.
First-principles (PBE) data for a geometry-optimized ThNpPd structure, as listed in OQMD.

Cell lengths 6.7321, 6.7321, 6.7321 Å; angles 90.00, 90.00, 90.00 degrees
Closest atoms and distances in Å follow each position.
Positions (direct):
1 Th 0.0000 0.0000 0.0000  4 Np 2.92, 4 Pd 2.92
2 Th 0.0000 0.5000 0.5000  4 Np 2.92, 4 Pd 2.92
3 Th 0.5000 0.0000 0.5000  4 Np 2.92, 4 Pd 2.92
4 Th 0.5000 0.5000 0.0000  4 Np 2.92, 4 Pd 2.92
5 Np 0.2500 0.2500 0.7500  4 Th 2.92
6 Np 0.2500 0.7500 0.2500  4 Th 2.92
7 Np 0.7500 0.2500 0.2500  4 Th 2.92
8 Np 0.7500 0.7500 0.7500  4 Th 2.92
9 Pd 0.2500 0.2500 0.2500  4 Th 2.92
10 Pd 0.2500 0.7500 0.7500  4 Th 2.92
11 Pd 0.7500 0.2500 0.7500  4 Th 2.92
12 Pd 0.7500 0.7500 0.2500  4 Th 2.92

Output
Energy of formation from the pure elements (eV per atom): 0.33
Spin magnetization (μB per cell): 18.1

---

10.
First-principles (PBE) data for a geometry-optimized ZnSb structure, as listed in OQMD.

Cell lengths 5.2047, 3.2075, 5.2456 Å; angles 90.00, 90.00, 90.00 degrees
Closest atoms and distances in Å follow each position.
Positions (direct):
1 Zn 0.2500 0.0000 0.2330  8 Sb 3.05-3.10, 2 Zn 3.21
2 Zn 0.7500 0.0000 0.7670  8 Sb 3.05-3.10, 2 Zn 3.21
3 Sb 0.2500 0.5000 0.7377  8 Zn 3.05-3.10, 2 Sb 3.21
4 Sb 0.7500 0.5000 0.2623  8 Zn 3.05-3.10, 2 Sb 3.21

Output
Uncorrected energy (eV/cell): -9.902

---

11.
First-principles (PBE) data for a geometry-optimized NdYAl2Pd4 structure, as listed in OQMD.

Cell lengths 4.3941, 4.3941, 9.2578 Å; angles 90.00, 90.00, 120.00 degrees
Closest atoms and distances in Å follow each position.
Positions (direct):
1 Nd 0.0000 0.0000 0.0000  8 Pd 3.03-3.07
2 Y 0.3333 0.6667 0.5000  8 Pd 2.97-2.98
3 Al 0.6667 0.3333 0.2553  6 Pd 2.63
4 Al 0.6667 0.3333 0.7447  6 Pd 2.63
5 Pd 0.0000 0.0000 0.3318  3 Al 2.63, 3 Pd 2.90
6 Pd 0.0000 0.0000 0.6682  3 Al 2.63, 3 Pd 2.90
7 Pd 0.3333 0.6667 0.1795  3 Al 2.63, 3 Pd 2.90
8 Pd 0.3333 0.6667 0.8205  3 Al 2.63, 3 Pd 2.90

Output
Uncorrected energy (eV/cell): -46.709
Spin magnetization (μB per cell): 0.0

---

12.
First-principles (PBE) data for a geometry-optimized BaLuGaS3 structure, as listed in OQMD.

Cell lengths 7.4666, 7.4666, 11.1576 Å; angles 90.00, 90.00, 149.25 degrees
Closest atoms and distances in Å follow each position.
Positions (direct):
1 Ba 0.1951 0.8049 0.7500  4 S 3.03-3.38
2 Ba 0.8049 0.1951 0.2500  4 S 3.03-3.38
3 Lu 0.5000 0.5000 0.0000  6 S 2.67-2.79
4 Lu 0.5000 0.5000 0.5000  6 S 2.67-2.79
5 Ga 0.1114 0.8886 0.2500  4 S 2.60-2.73
6 Ga 0.8886 0.1114 0.7500  4 S 2.60-2.73
7 S 0.1239 0.8761 0.0057  2 Lu 2.67, 1 Ga 2.73
8 S 0.1239 0.8761 0.4943  2 Lu 2.67, 1 Ga 2.73
9 S 0.4947 0.5053 0.2500  2 Ga 2.60, 2 Lu 2.79
10 S 0.5053 0.4947 0.7500  2 Ga 2.60, 2 Lu 2.79
11 S 0.8761 0.1239 0.5057  2 Lu 2.67, 1 Ga 2.73
12 S 0.8761 0.1239 0.9943  2 Lu 2.67, 1 Ga 2.73

Output
Uncorrected energy (eV/cell): -61.193
Spin magnetization (μB per cell): 0.0

---

Number 1: calculated volume 13.7 Å³ per atom. Number 2: calculated volume 21.3 Å³ per atom. Number 3: calculated volume 20.8 Å³ per atom. Number 4: calculated volume 23.3 Å³ per atom. Number 5: calculated volume 15.9 Å³ per atom. Number 6: calculated volume 28.4 Å³ per atom. Number 7: calculated volume 30.1 Å³ per atom. Number 8: calculated volume 34.0 Å³ per atom. Number 9: calculated volume 25.4 Å³ per atom. Number 10: calculated volume 21.9 Å³ per atom. Number 11: calculated volume 19.3 Å³ per atom. Number 12: calculated volume 26.5 Å³ per atom.